First-principles (PBE-GGA) data for a geometry-optimized Li2Er3Pd5 structure, as listed in Alexandria.

Computed properties:
DOS(E_F) = 8.21 states/eV per cell
total DFT energy (no corrections) = -5.11 eV/atom
ΔE_f = -762 meV per atom

Unit cell a=9.856 b=9.856 c=3.653 alpha=90.00 beta=90.00 gamma=90.00
Fractional positions:
Li: 0.121 0.379 0.000
Li: 0.379 0.879 0.000
Li: 0.621 0.121 0.000
Li: 0.879 0.621 0.000
Er: 0.000 0.000 0.000
Er: 0.175 0.675 0.000
Er: 0.325 0.175 0.000
Er: 0.500 0.500 0.000
Er: 0.675 0.825 0.000
Er: 0.825 0.325 0.000
Pd: 0.000 0.500 0.500
Pd: 0.071 0.213 0.500
Pd: 0.213 0.929 0.500
Pd: 0.287 0.429 0.500
Pd: 0.429 0.713 0.500
Pd: 0.500 0.000 0.500
Pd: 0.571 0.287 0.500
Pd: 0.713 0.571 0.500
Pd: 0.787 0.071 0.500
Pd: 0.929 0.787 0.500

First-principles (PBE-GGA) data for a geometry-optimized Li3ErPd3 structure, as listed in Alexandria.

Computed properties:
DOS(E_F) = 7.00 states/eV per cell
total DFT energy (no corrections) = -3.65 eV/atom
ΔE_f = 49 meV per atom

Unit cell a=6.366 b=6.366 c=6.366 alpha=90.00 beta=90.00 gamma=90.00
Fractional positions:
Li: 0.000 0.250 0.500
Li: 0.000 0.750 0.500
Li: 0.250 0.500 0.000
Li: 0.500 0.000 0.250
Li: 0.500 0.000 0.750
Li: 0.750 0.500 0.000
Er: 0.000 0.000 0.000
Er: 0.500 0.500 0.500
Pd: 0.000 0.500 0.250
Pd: 0.000 0.500 0.750
Pd: 0.250 0.000 0.500
Pd: 0.500 0.250 0.000
Pd: 0.500 0.750 0.000
Pd: 0.750 0.000 0.500